1.
{
  "formula": "TaFeSi2",
  "functional": "GGA-PBE",
  "state": "relaxed",
  "lattice_angstrom": [[3.840, 0.000, 0.000], [0.000, 4.253, 0.000], [0.000, 0.000, 6.418]],
  "species": ["Ta", "Ta", "Fe", "Fe", "Si", "Si", "Si", "Si"],
  "frac_coords": [[0.000, 0.000, 0.000], [0.500, 0.500, 0.000], [0.000, 0.000, 0.500], [0.500, 0.500, 0.500], [0.000, 0.500, 0.294], [0.000, 0.500, 0.706], [0.500, 0.000, 0.294], [0.500, 0.000, 0.706]],
  "spacegroup": "Cmmm, No. 65",
  "formation_energy_uncorrected_ev_per_atom": -0.3030
}



2.
{
  "formula": "Ta2FeSi",
  "functional": "GGA-PBE",
  "state": "relaxed",
  "lattice_angstrom": [[3.321, 0.000, 0.000], [0.000, 3.321, 0.000], [0.000, 0.000, 5.533]],
  "species": ["Ta", "Ta", "Fe", "Si"],
  "frac_coords": [[0.000, 0.000, 0.247], [0.000, 0.000, 0.753], [0.500, 0.500, 0.500], [0.500, 0.500, 0.000]],
  "spacegroup": "P4/mmm, No. 123",
  "formation_energy_uncorrected_ev_per_atom": -0.1560
}



3.
{
  "formula": "TaFeSi2",
  "functional": "GGA-PBE",
  "state": "relaxed",
  "lattice_angstrom": [[2.860, 0.000, 0.000], [0.000, 3.828, 0.000], [0.000, 0.000, 5.043]],
  "species": ["Ta", "Fe", "Si", "Si"],
  "frac_coords": [[0.000, 0.000, 0.000], [0.500, 0.000, 0.500], [0.500, 0.500, 0.258], [0.500, 0.500, 0.742]],
  "spacegroup": "Pmmm, No. 47",
  "formation_energy_uncorrected_ev_per_atom": -0.2982
}



4.
{
  "formula": "TaFe2Si",
  "functional": "GGA-PBE",
  "state": "relaxed",
  "lattice_angstrom": [[2.902, 0.000, 0.000], [0.000, 2.902, 0.000], [0.000, 0.000, 6.224]],
  "species": ["Ta", "Fe", "Fe", "Si"],
  "frac_coords": [[0.000, 0.000, 0.000], [0.000, 0.000, 0.508], [0.500, 0.500, 0.292], [0.500, 0.500, 0.706]],
  "spacegroup": "P4mm, No. 99",
  "formation_energy_uncorrected_ev_per_atom": -0.1675
}



Number 1: total energy -32.374 eV/f.u.. Number 2: total energy -38.215 eV/f.u.. Number 3: total energy -32.354 eV/f.u.. Number 4: total energy -34.871 eV/f.u..